No. 1
# PaZnC PBE-GGA optimized geometry
# E_form = -0.1 eV/f.u.
# Energy above the most stable polymorph in this dataset = 0 meV/atom
# Density = 9.0 g/cm³
# Total moment = 0.00 μB per atom
data_PaZnC
_cell_length_a 3.3762
_cell_length_b 3.3762
_cell_length_c 19.8997
_cell_angle_alpha 90.00
_cell_angle_beta 90.00
_cell_angle_gamma 90.00
_space_group_name_H-M_alt 'I 4/m m m'
_space_group_IT_number 139
_space_group_name_Hall '-I 4 2'
loop_
_atom_site_label
_atom_site_type_symbol
_atom_site_fract_x
_atom_site_fract_y
_atom_site_fract_z
Pa1 Pa 0.0000 0.0000 0.1793
Zn1 Zn 0.0000 0.0000 0.4371
C1 C 0.0000 0.0000 0.2974



No. 2
# TbPm2Y PBE-GGA optimized geometry
# E_form = 0.1 eV/f.u.
# Energy above the most stable polymorph in this dataset = 9 meV/atom
# Density = 6.6 g/cm³
# Total moment = 0.00 μB per atom
data_TbPm2Y
_cell_length_a 5.7853
_cell_length_b 7.3536
_cell_length_c 6.3422
_cell_angle_alpha 90.00
_cell_angle_beta 90.00
_cell_angle_gamma 90.00
_space_group_name_H-M_alt 'P m m n'
_space_group_IT_number 59
loop_
_space_group_symop_operation_xyz
'x,y,z'
'-x,-y,-z'
'-x+1/2,-y+1/2,z'
'x+1/2,y+1/2,-z'
'x+1/2,-y,-z'
'-x+1/2,y,z'
'-x,y+1/2,-z'
'x,-y+1/2,z'
loop_
_atom_site_label
_atom_site_type_symbol
_atom_site_fract_x
_atom_site_fract_y
_atom_site_fract_z
Tb1 Tb 0.2500 0.2500 0.1670
Pm1 Pm 0.2500 0.0002 0.6673
Y1 Y 0.2500 0.7500 0.1641



No. 3
# AcTbNd3 PBE-GGA optimized geometry
# E_form = 0.2 eV/f.u.
# Energy above the most stable polymorph in this dataset = 0 meV/atom
# Density = 7.5 g/cm³
# Total moment = 0.00 μB per atom
data_AcTbNd3
_cell_length_a 18.9582
_cell_length_b 5.2607
_cell_length_c 7.4379
_cell_angle_alpha 90.00
_cell_angle_beta 101.17
_cell_angle_gamma 90.00
_space_group_name_H-M_alt 'C 1 2/m 1'
_space_group_IT_number 12
_space_group_name_Hall '-C 2y'
loop_
_atom_site_label
_atom_site_type_symbol
_atom_site_fract_x
_atom_site_fract_y
_atom_site_fract_z
Ac1 Ac 0.1972 0.0000 0.3437
Tb1 Tb 0.0974 0.5000 0.0451
Nd1 Nd 0.0024 0.0000 0.7558
Nd2 Nd 0.0970 0.5000 0.5500
Nd3 Nd 0.1978 0.0000 0.8508